The following is a DFT calculation (GGA-PBEsol) of an optimized crystal structure of TaAgPt.

Output
* E above lowest polymorph: 0.089 eV per atom
* final energy: -23.11 eV/cell

```
data_TaAgPt
_chemical_formula_sum 'Ta1 Ag1 Pt1'
_space_group_name_H-M_alt 'P 1'
_space_group_IT_number 1
_cell_length_a 2.841
_cell_length_b 2.841
_cell_length_c 7.025
_cell_angle_alpha 90.00
_cell_angle_beta 90.00
_cell_angle_gamma 120.00
loop_
_space_group_symop_operation_xyz
'x,y,z'
loop_
_atom_site_label
_atom_site_fract_x
_atom_site_fract_y
_atom_site_fract_z
Pt1 0.333 0.667 0.657
Ag1 0.000 0.000 0.997
Ta1 0.667 0.333 0.345
```

The following is a DFT calculation (GGA-PBEsol) of an optimized crystal structure of TcAg2Pt.

Output
* E above lowest polymorph: 0.054 eV per atom
* final energy: -23.05 eV/cell

```
data_TcAg2Pt
_chemical_formula_sum 'Tc1 Ag2 Pt1'
_space_group_name_H-M_alt 'P 1'
_space_group_IT_number 1
_cell_length_a 4.446
_cell_length_b 4.446
_cell_length_c 4.446
_cell_angle_alpha 60.00
_cell_angle_beta 60.00
_cell_angle_gamma 60.00
loop_
_space_group_symop_operation_xyz
'x,y,z'
loop_
_atom_site_label
_atom_site_fract_x
_atom_site_fract_y
_atom_site_fract_z
Ag1 0.000 0.000 0.000
Ag2 0.250 0.250 0.250
Pt1 0.500 0.500 0.500
Tc1 0.750 0.750 0.750
```

The following is a DFT calculation (GGA-PBEsol) of an optimized crystal structure of TcAgPt2.

Output
* E above lowest polymorph: 0.000 eV per atom
* final energy: -29.04 eV/cell

```
data_TcAgPt2
_chemical_formula_sum 'Tc1 Ag1 Pt2'
_space_group_name_H-M_alt 'P 1'
_space_group_IT_number 1
_cell_length_a 2.738
_cell_length_b 2.738
_cell_length_c 7.976
_cell_angle_alpha 90.00
_cell_angle_beta 90.00
_cell_angle_gamma 90.00
loop_
_space_group_symop_operation_xyz
'x,y,z'
loop_
_atom_site_label
_atom_site_fract_x
_atom_site_fract_y
_atom_site_fract_z
Ag1 0.500 0.500 0.500
Pt1 0.000 0.000 0.767
Pt2 0.000 0.000 0.233
Tc1 0.500 0.500 0.000
```

The following is a DFT calculation (GGA-PBEsol) of an optimized crystal structure of TcAg2Pt.

Output
* E above lowest polymorph: 0.012 eV per atom
* final energy: -23.22 eV/cell

```
data_TcAg2Pt
_chemical_formula_sum 'Tc1 Ag2 Pt1'
_space_group_name_H-M_alt 'P 1'
_space_group_IT_number 1
_cell_length_a 2.749
_cell_length_b 4.818
_cell_length_c 5.518
_cell_angle_alpha 115.89
_cell_angle_beta 104.42
_cell_angle_gamma 90.00
loop_
_space_group_symop_operation_xyz
'x,y,z'
loop_
_atom_site_label
_atom_site_fract_x
_atom_site_fract_y
_atom_site_fract_z
Ag1 0.004 0.004 0.007
Ag2 0.244 0.744 0.488
Pt1 0.490 0.490 0.979
Tc1 0.763 0.263 0.526
```

The following is a DFT calculation (GGA-PBEsol) of an optimized crystal structure of TcAgPt2.

Output
* E above lowest polymorph: 0.468 eV per atom
* final energy: -27.17 eV/cell

```
data_TcAgPt2
_chemical_formula_sum 'Tc1 Ag1 Pt2'
_space_group_name_H-M_alt 'P 1'
_space_group_IT_number 1
_cell_length_a 4.403
_cell_length_b 4.403
_cell_length_c 4.403
_cell_angle_alpha 60.00
_cell_angle_beta 60.00
_cell_angle_gamma 60.00
loop_
_space_group_symop_operation_xyz
'x,y,z'
loop_
_atom_site_label
_atom_site_fract_x
_atom_site_fract_y
_atom_site_fract_z
Ag1 0.500 0.500 0.500
Pt1 0.000 0.000 0.000
Pt2 0.750 0.750 0.750
Tc1 0.250 0.250 0.250
```

The following is a DFT calculation (GGA-PBEsol) of an optimized crystal structure of TcAg2Pt.

Output
* E above lowest polymorph: 0.000 eV per atom
* final energy: -23.27 eV/cell

```
data_TcAg2Pt
_chemical_formula_sum 'Tc1 Ag2 Pt1'
_space_group_name_H-M_alt 'P 1'
_space_group_IT_number 1
_cell_length_a 2.653
_cell_length_b 4.259
_cell_length_c 5.438
_cell_angle_alpha 90.00
_cell_angle_beta 90.00
_cell_angle_gamma 90.00
loop_
_space_group_symop_operation_xyz
'x,y,z'
loop_
_atom_site_label
_atom_site_fract_x
_atom_site_fract_y
_atom_site_fract_z
Ag1 0.000 0.000 0.748
Ag2 0.000 0.000 0.252
Pt1 0.500 0.500 0.000
Tc1 0.500 0.500 0.500
```

The following is a DFT calculation (GGA-PBEsol) of an optimized crystal structure of TcAgPt2.

Output
* E above lowest polymorph: 0.080 eV per atom
* final energy: -28.72 eV/cell

```
data_TcAgPt2
_chemical_formula_sum 'Tc1 Ag1 Pt2'
_space_group_name_H-M_alt 'P 1'
_space_group_IT_number 1
_cell_length_a 2.754
_cell_length_b 2.754
_cell_length_c 9.242
_cell_angle_alpha 81.43
_cell_angle_beta 81.43
_cell_angle_gamma 60.00
loop_
_space_group_symop_operation_xyz
'x,y,z'
loop_
_atom_site_label
_atom_site_fract_x
_atom_site_fract_y
_atom_site_fract_z
Ag1 0.000 0.000 0.000
Pt1 0.246 0.246 0.262
Pt2 0.754 0.754 0.738
Tc1 0.500 0.500 0.500
```

The following is a DFT calculation (GGA-PBEsol) of an optimized crystal structure of Tc2AgPt.

Output
* E above lowest polymorph: 0.000 eV per atom
* final energy: -32.66 eV/cell

```
data_Tc2AgPt
_chemical_formula_sum 'Tc2 Ag1 Pt1'
_space_group_name_H-M_alt 'P 1'
_space_group_IT_number 1
_cell_length_a 2.728
_cell_length_b 2.728
_cell_length_c 9.315
_cell_angle_alpha 81.58
_cell_angle_beta 81.58
_cell_angle_gamma 60.00
loop_
_space_group_symop_operation_xyz
'x,y,z'
loop_
_atom_site_label
_atom_site_fract_x
_atom_site_fract_y
_atom_site_fract_z
Ag1 0.499 0.499 0.502
Pt1 0.253 0.253 0.240
Tc1 0.003 0.003 0.991
Tc2 0.744 0.744 0.767
```

The following is a DFT calculation (GGA-PBEsol) of an optimized crystal structure of TcAg4Pt.

Output
* final energy: -27.73 eV/cell

```
data_TcAg4Pt
_chemical_formula_sum 'Tc1 Ag4 Pt1'
_space_group_name_H-M_alt 'P 1'
_space_group_IT_number 1
_cell_length_a 5.201
_cell_length_b 5.201
_cell_length_c 5.201
_cell_angle_alpha 60.00
_cell_angle_beta 60.00
_cell_angle_gamma 60.00
loop_
_space_group_symop_operation_xyz
'x,y,z'
loop_
_atom_site_label
_atom_site_fract_x
_atom_site_fract_y
_atom_site_fract_z
Ag1 0.375 0.375 0.375
Ag2 0.375 0.375 0.875
Ag3 0.875 0.375 0.375
Ag4 0.375 0.875 0.375
Pt1 0.750 0.750 0.750
Tc1 0.000 0.000 0.000
```

The following is a DFT calculation (GGA-PBEsol) of an optimized crystal structure of Tc2AgPt.

Output
* E above lowest polymorph: 0.210 eV per atom
* final energy: -31.82 eV/cell

```
data_Tc2AgPt
_chemical_formula_sum 'Tc2 Ag1 Pt1'
_space_group_name_H-M_alt 'P 1'
_space_group_IT_number 1
_cell_length_a 3.796
_cell_length_b 4.023
_cell_length_c 4.751
_cell_angle_alpha 115.05
_cell_angle_beta 113.54
_cell_angle_gamma 90.00
loop_
_space_group_symop_operation_xyz
'x,y,z'
loop_
_atom_site_label
_atom_site_fract_x
_atom_site_fract_y
_atom_site_fract_z
Ag1 0.496 0.496 0.992
Pt1 0.251 0.751 0.503
Tc1 0.016 0.016 0.033
Tc2 0.736 0.236 0.473
```

The following is a DFT calculation (GGA-PBEsol) of an optimized crystal structure of TcAgPt2.

Output
* E above lowest polymorph: 0.252 eV per atom
* final energy: -28.03 eV/cell

```
data_TcAgPt2
_chemical_formula_sum 'Tc1 Ag1 Pt2'
_space_group_name_H-M_alt 'P 1'
_space_group_IT_number 1
_cell_length_a 2.725
_cell_length_b 3.960
_cell_length_c 5.549
_cell_angle_alpha 90.00
_cell_angle_beta 90.00
_cell_angle_gamma 90.00
loop_
_space_group_symop_operation_xyz
'x,y,z'
loop_
_atom_site_label
_atom_site_fract_x
_atom_site_fract_y
_atom_site_fract_z
Ag1 0.500 0.500 0.753
Pt1 0.000 0.000 0.000
Pt2 0.500 0.500 0.267
Tc1 0.000 0.000 0.481
```

The following is a DFT calculation (GGA-PBEsol) of an optimized crystal structure of AgTe2Pt.

Output
* ΔE_f (raw): 0.072 eV per atom
* final energy: -17.04 eV/cell

```
data_AgTe2Pt
_chemical_formula_sum 'Ag1 Te2 Pt1'
_space_group_name_H-M_alt 'P 1'
_space_group_IT_number 1
_cell_length_a 3.504
_cell_length_b 4.248
_cell_length_c 6.596
_cell_angle_alpha 108.78
_cell_angle_beta 105.40
_cell_angle_gamma 90.00
loop_
_space_group_symop_operation_xyz
'x,y,z'
loop_
_atom_site_label
_atom_site_fract_x
_atom_site_fract_y
_atom_site_fract_z
Te1 0.945 0.945 0.890
Te2 0.722 0.222 0.444
Ag1 0.563 0.563 0.126
Pt1 0.270 0.770 0.541
```